The following is a DFT calculation (GGA-PBE) of a relaxed structure of Li3Dy2PaS6.

Properties
Formation energy (no corrections) (eV per atom): -1.694
Crystal system: monoclinic
D(E_F) (states/eV per cell): 6.42

The structure in extended XYZ format:
```
12
Lattice="6.732 -0.001 0.000 -3.366 5.831 0.000 -1.123 -1.944 6.206" Properties=species:S:1:pos:R:3 pbc="T T T"
S -0.010 -0.018 4.627
Dy 0.000 3.887 0.000
Li 1.122 1.943 3.103
S 3.356 1.958 4.618
S 0.019 3.886 4.618
Li 4.476 0.005 3.103
Pa 0.000 0.000 0.000
S -1.112 1.927 1.589
S 2.254 3.903 1.580
Li -2.232 3.880 3.103
S 2.225 -0.001 1.589
Dy 3.367 1.943 0.000
```